[1]
First-principles (GGA-PBE) data for a relaxed Sc2Pt2O5 crystal, as listed in the Open Quantum Materials Database.

Properties
Energy relative to the lowest polymorph listed for this composition: 0 meV per atom

Structure (POSCAR):
```
Sc2Pt2O5
1.0
8.413 0.000 0.000
0.000 3.647 0.000
0.000 0.000 3.647
Pt O Sc
2 5 2
direct
0.000 0.000 0.000
0.500 0.000 0.000
0.500 0.500 0.500
0.146 0.500 0.000
0.854 0.500 0.000
0.146 0.000 0.500
0.854 0.000 0.500
0.262 0.500 0.500
0.738 0.500 0.500
```

[2]
First-principles (GGA-PBE) data for a relaxed Sc2Pt2O5 crystal, as listed in the Open Quantum Materials Database.

Properties
Energy relative to the lowest polymorph listed for this composition: 305 meV per atom

Structure (POSCAR):
```
Sc2Pt2O5
1.0
6.702 0.000 0.000
0.000 3.987 0.000
0.000 0.000 3.987
Sc O Pt
2 5 2
direct
0.000 0.000 0.000
0.500 0.000 0.000
0.762 0.000 0.500
0.238 0.000 0.500
0.500 0.500 0.500
0.762 0.500 0.000
0.238 0.500 0.000
0.809 0.500 0.500
0.191 0.500 0.500
```

[3]
First-principles (GGA-PBE) data for a relaxed SnPtSeO crystal, as listed in the Open Quantum Materials Database.

Properties
Energy relative to the lowest polymorph listed for this composition: 340 meV per atom

Structure (POSCAR):
```
SnPtSeO
1.0
6.632 0.000 0.000
0.000 8.628 0.000
0.000 0.000 5.704
Sn O Se Pt
4 4 4 4
direct
0.439 0.702 0.058
0.939 0.298 0.058
0.061 0.702 0.558
0.561 0.298 0.558
0.961 0.060 0.073
0.461 0.940 0.073
0.039 0.940 0.573
0.539 0.060 0.573
0.026 0.662 0.057
0.474 0.662 0.557
0.974 0.338 0.557
0.526 0.338 0.057
0.229 0.138 0.562
0.729 0.862 0.562
0.271 0.138 0.062
0.771 0.862 0.062
```

[4]
First-principles (GGA-PBE) data for a relaxed SnPtSeO crystal, as listed in the Open Quantum Materials Database.

Properties
Energy relative to the lowest polymorph listed for this composition: 106 meV per atom

Structure (POSCAR):
```
SnPtSeO
1.0
6.331 0.000 0.000
0.000 7.034 0.000
0.000 0.000 6.492
Se O Pt Sn
4 4 4 4
direct
0.404 0.608 0.617
0.596 0.392 0.117
0.096 0.608 0.117
0.904 0.392 0.617
0.920 0.061 0.216
0.080 0.939 0.716
0.580 0.061 0.716
0.420 0.939 0.216
0.951 0.282 0.982
0.451 0.718 0.982
0.549 0.282 0.482
0.049 0.718 0.482
0.338 0.112 0.935
0.838 0.888 0.935
0.662 0.888 0.435
0.162 0.112 0.435
```

[5]
First-principles (GGA-PBE) data for a relaxed SnPtSeO crystal, as listed in the Open Quantum Materials Database.

Properties
Energy relative to the lowest polymorph listed for this composition: 362 meV per atom

Structure (POSCAR):
```
SnPtSeO
1.0
4.532 0.000 0.000
0.000 4.532 0.000
0.000 0.000 8.124
Pt O Sn Se
2 2 2 2
direct
0.750 0.750 0.632
0.250 0.250 0.368
0.250 0.250 0.088
0.750 0.750 0.912
0.750 0.750 0.153
0.250 0.250 0.847
0.250 0.750 0.500
0.750 0.250 0.500
```

[6]
First-principles (GGA-PBE) data for a relaxed SnPtSeO crystal, as listed in the Open Quantum Materials Database.

Properties
Energy relative to the lowest polymorph listed for this composition: 188 meV per atom

Structure (POSCAR):
```
SnPtSeO
1.0
3.744 0.000 0.000
0.000 3.744 0.000
0.000 0.000 11.637
Pt Se Sn O
2 2 2 2
direct
0.750 0.250 0.000
0.250 0.750 0.000
0.250 0.250 0.152
0.750 0.750 0.848
0.250 0.250 0.609
0.750 0.750 0.391
0.750 0.750 0.569
0.250 0.250 0.431
```

[7]
First-principles (GGA-PBE) data for a relaxed SnPtSeO crystal, as listed in the Open Quantum Materials Database.

Properties
Energy relative to the lowest polymorph listed for this composition: 499 meV per atom

Structure (POSCAR):
```
SnPtSeO
1.0
-2.294 2.228 3.341
-3.853 -0.137 -2.554
-1.841 -6.589 3.130
O Se Pt Sn
2 2 2 2
direct
0.250 0.250 0.526
0.750 0.750 0.474
0.250 0.250 0.300
0.750 0.750 0.700
0.750 0.750 0.180
0.250 0.250 0.820
0.250 0.750 0.000
0.750 0.250 0.000
```

[8]
First-principles (GGA-PBE) data for a relaxed SnPtSeO crystal, as listed in the Open Quantum Materials Database.

Properties
Energy relative to the lowest polymorph listed for this composition: 0 meV per atom

Structure (POSCAR):
```
SnPtSeO
1.0
5.338 0.000 0.000
0.000 6.849 0.000
0.000 0.000 9.355
Sn Pt Se O
4 4 4 4
direct
0.798 0.393 0.919
0.702 0.607 0.419
0.298 0.107 0.081
0.202 0.893 0.581
0.089 0.771 0.017
0.911 0.271 0.483
0.589 0.729 0.983
0.411 0.229 0.517
0.712 0.149 0.702
0.212 0.351 0.298
0.288 0.649 0.798
0.788 0.851 0.202
0.354 0.718 0.433
0.854 0.782 0.567
0.646 0.218 0.067
0.146 0.282 0.933
```